Entry 1:
# LaDyMgPa (GGA-PBE, optimized geometry)
# E_form   0.333 eV/atom
data_LaDyMgPa
_space_group_name_H-M_alt 'F -4 3 m'
_space_group_IT_number 216
_space_group_name_Hall 'F -4 2 3'
_cell_length_a 7.724
_cell_length_b 7.724
_cell_length_c 7.724
_cell_angle_alpha 90.00
_cell_angle_beta 90.00
_cell_angle_gamma 90.00
loop_
_atom_site_label
_atom_site_fract_x
_atom_site_fract_y
_atom_site_fract_z
La1 0.000 0.000 0.000
Dy1 0.000 0.000 0.500
Mg1 0.250 0.250 0.250
Pa1 0.250 0.250 0.750



Entry 2:
# CeLuSb (GGA-PBE, optimized geometry)
# Energy relative to the elements, uncorrected   -0.414 eV/atom
data_CeLuSb
_space_group_name_H-M_alt 'P 3 m 1'
_space_group_IT_number 156
_cell_length_a 5.0756
_cell_length_b 5.0756
_cell_length_c 3.9753
_cell_angle_alpha 90.00
_cell_angle_beta 90.00
_cell_angle_gamma 120.00
loop_
_space_group_symop_operation_xyz
'x,y,z'
'-y,x-y,z'
'-x+y,-x,z'
'-y,-x,z'
'-x+y,y,z'
'x,x-y,z'
loop_
_atom_site_label
_atom_site_fract_x
_atom_site_fract_y
_atom_site_fract_z
Ce1 0.0000 0.0000 0.0000
Lu1 0.6667 0.3333 0.5027
Sb1 0.3333 0.6667 0.4911



Entry 3:
# ScCd2Sb (GGA-PBE, optimized geometry)
# Energy relative to the elements, uncorrected   -0.101 eV/atom
data_ScCd2Sb
_space_group_name_H-M_alt 'F -4 3 m'
_space_group_IT_number 216
_space_group_name_Hall 'F -4 2 3'
_cell_length_a 7.266
_cell_length_b 7.266
_cell_length_c 7.266
_cell_angle_alpha 90.00
_cell_angle_beta 90.00
_cell_angle_gamma 90.00
loop_
_atom_site_label
_atom_site_fract_x
_atom_site_fract_y
_atom_site_fract_z
Sc1 0.000 0.000 0.000
Cd1 0.000 0.000 0.500
Cd2 0.250 0.250 0.250
Sb1 0.250 0.250 0.750



Entry 4:
# Cd2Ge2Ir (GGA-PBE, optimized geometry)
# E_form   0.556 eV/atom
# E above lowest polymorph   0.501 eV/atom
data_Cd2Ge2Ir
_space_group_name_H-M_alt 'P 4/m b m'
_space_group_IT_number 127
_space_group_name_Hall '-P 4 2ab'
_cell_length_a 7.251
_cell_length_b 7.251
_cell_length_c 3.765
_cell_angle_alpha 90.00
_cell_angle_beta 90.00
_cell_angle_gamma 90.00
loop_
_atom_site_label
_atom_site_fract_x
_atom_site_fract_y
_atom_site_fract_z
Cd1 0.139 0.361 0.000
Ge1 0.171 0.671 0.500
Ir1 0.000 0.000 0.000



Entry 5:
# MgCoRu2 (GGA-PBE, optimized geometry)
# E_form   0.539 eV/atom
data_MgCoRu2
_space_group_name_H-M_alt 'I -4 2 d'
_space_group_IT_number 122
_space_group_name_Hall 'I -4 2bw'
_cell_length_a 7.157
_cell_length_b 7.157
_cell_length_c 4.846
_cell_angle_alpha 90.00
_cell_angle_beta 90.00
_cell_angle_gamma 90.00
loop_
_atom_site_label
_atom_site_fract_x
_atom_site_fract_y
_atom_site_fract_z
Mg1 0.000 0.000 0.000
Co1 0.000 0.000 0.500
Ru1 0.189 0.250 0.625



Entry 6:
# Zr2Ir3 (GGA-PBE, optimized geometry)
# E_form   -0.131 eV/atom
# E above lowest polymorph   0.582 eV/atom
data_Zr2Ir3
_space_group_name_H-M_alt 'R -3 m'
_space_group_IT_number 166
_space_group_name_Hall '-R 3 2"'
_cell_length_a 3.6739
_cell_length_b 3.6739
_cell_length_c 24.9083
_cell_angle_alpha 90.00
_cell_angle_beta 90.00
_cell_angle_gamma 120.00
loop_
_atom_site_label
_atom_site_fract_x
_atom_site_fract_y
_atom_site_fract_z
Zr1 0.0000 0.0000 0.0956
Ir1 0.0000 0.0000 0.3039
Ir2 0.0000 0.0000 0.5000



Entry 7:
# Ba4IrPdI2 (GGA-PBE, optimized geometry)
# Energy relative to the elements, uncorrected   -0.878 eV/atom
data_Ba4IrPdI2
_space_group_name_H-M_alt 'P 1 2/m 1'
_space_group_IT_number 10
_cell_length_a 8.058
_cell_length_b 4.653
_cell_length_c 8.991
_cell_angle_alpha 90.00
_cell_angle_beta 107.22
_cell_angle_gamma 90.00
loop_
_space_group_symop_operation_xyz
'x,y,z'
'-x,-y,-z'
'-x,y,-z'
'x,-y,z'
loop_
_atom_site_label
_atom_site_fract_x
_atom_site_fract_y
_atom_site_fract_z
Ba1 0.223 0.000 0.199
Ba2 0.254 0.500 0.799
Ir1 0.000 0.500 0.000
Pd1 0.500 0.000 0.000
I1 0.000 0.000 0.500
I2 0.500 0.500 0.500



Entry 8:
# Ce6Ga2Hg (GGA-PBE, optimized geometry)
# E_form   -0.083 eV/atom
# E above lowest polymorph   0.156 eV/atom
data_Ce6Ga2Hg
_space_group_name_H-M_alt 'I m m m'
_space_group_IT_number 71
_space_group_name_Hall '-I 2 2'
_cell_length_a 3.974
_cell_length_b 7.360
_cell_length_c 15.963
_cell_angle_alpha 90.00
_cell_angle_beta 90.00
_cell_angle_gamma 90.00
loop_
_atom_site_label
_atom_site_fract_x
_atom_site_fract_y
_atom_site_fract_z
Ce1 0.000 0.178 0.000
Ce2 0.000 0.291 0.189
Ga1 0.000 0.500 0.371
Hg1 0.000 0.000 0.500



Entry 9:
# AlTlCo4 (GGA-PBE, optimized geometry)
# E_form   0.221 eV/atom
data_AlTlCo4
_space_group_name_H-M_alt 'F -4 3 m'
_space_group_IT_number 216
_space_group_name_Hall 'F -4 2 3'
_cell_length_a 6.871
_cell_length_b 6.871
_cell_length_c 6.871
_cell_angle_alpha 90.00
_cell_angle_beta 90.00
_cell_angle_gamma 90.00
loop_
_atom_site_label
_atom_site_fract_x
_atom_site_fract_y
_atom_site_fract_z
Al1 0.000 0.000 0.000
Tl1 0.250 0.250 0.750
Co1 0.126 0.126 0.374



Entry 10:
# ScPRu2 (GGA-PBE, optimized geometry)
# E_form   -0.346 eV/atom
data_ScPRu2
_space_group_name_H-M_alt 'P 4 m m'
_space_group_IT_number 99
_cell_length_a 2.947
_cell_length_b 2.947
_cell_length_c 6.978
_cell_angle_alpha 90.00
_cell_angle_beta 90.00
_cell_angle_gamma 90.00
loop_
_space_group_symop_operation_xyz
'x,y,z'
'-y,x,z'
'-x,-y,z'
'y,-x,z'
'-x,y,z'
'y,x,z'
'x,-y,z'
'-y,-x,z'
loop_
_atom_site_label
_atom_site_fract_x
_atom_site_fract_y
_atom_site_fract_z
Sc1 0.000 0.000 0.000
P1 0.500 0.500 0.292
Ru1 0.000 0.000 0.462
Ru2 0.500 0.500 0.734



Entry 11:
# Na3CaNi (GGA-PBE, optimized geometry)
# E_form   0.431 eV/atom
# E above lowest polymorph   0.000 eV/atom
data_Na3CaNi
_space_group_name_H-M_alt 'P m -3 m'
_space_group_IT_number 221
_space_group_name_Hall '-P 4 2 3'
_cell_length_a 5.400
_cell_length_b 5.400
_cell_length_c 5.400
_cell_angle_alpha 90.00
_cell_angle_beta 90.00
_cell_angle_gamma 90.00
loop_
_atom_site_label
_atom_site_fract_x
_atom_site_fract_y
_atom_site_fract_z
Na1 0.000 0.000 0.500
Ca1 0.500 0.500 0.500
Ni1 0.000 0.000 0.000



Entry 12:
# NaB2OsBr (GGA-PBE, optimized geometry)
# Energy relative to the elements, uncorrected   2.555 eV/atom
data_NaB2OsBr
_space_group_name_H-M_alt 'P 4/m m m'
_space_group_IT_number 123
_space_group_name_Hall '-P 4 2'
_cell_length_a 4.280
_cell_length_b 4.280
_cell_length_c 4.663
_cell_angle_alpha 90.00
_cell_angle_beta 90.00
_cell_angle_gamma 90.00
loop_
_atom_site_label
_atom_site_fract_x
_atom_site_fract_y
_atom_site_fract_z
Na1 0.000 0.000 0.000
B1 0.000 0.500 0.500
Os1 0.500 0.500 0.000
Br1 0.000 0.000 0.500



no.,volume (Å³/cell),mass density (g cm⁻³),total energy (eV/atom)
1,461,8.025,-4.822
2,89,8.179,-5.273
3,384,6.780,-3.172
4,198,9.435,-3.429
5,248,7.636,-6.274
6,291,12.988,-8.867
7,322,5.683,-3.984
8,467,8.399,-4.745
9,324,9.564,-5.535
10,61,7.617,-7.920
11,157,1.769,-1.917
12,85,6.118,-2.960